# 1
{
  "formula": "B3N3F",
  "functional": "PBE",
  "state": "optimized geometry",
  "cell": [[4.489, 0.000, 0.000], [0.000, 4.489, 0.000], [0.000, 0.000, 4.489]],
  "species": ["B", "B", "B", "B", "B", "B", "N", "N", "N", "N", "N", "N", "F", "F"],
  "fractional_positions": [[0.000, 0.250, 0.500], [0.000, 0.750, 0.500], [0.250, 0.500, 0.000], [0.500, 0.000, 0.250], [0.500, 0.000, 0.750], [0.750, 0.500, 0.000], [0.000, 0.500, 0.250], [0.000, 0.500, 0.750], [0.250, 0.000, 0.500], [0.500, 0.250, 0.000], [0.500, 0.750, 0.000], [0.750, 0.000, 0.500], [0.000, 0.000, 0.000], [0.500, 0.500, 0.500]],
  "spacegroup": "Pm-3n",
  "dos_at_fermi_per_ev_atom": 0.59,
  "magmom_total_mub_per_fu": 0.28
}

***

# 2
{
  "formula": "BN2F",
  "functional": "PBE",
  "state": "optimized geometry",
  "cell": [[1.323, 0.764, 5.081], [-1.323, 0.764, 5.081], [0.000, -1.527, 5.081]],
  "species": ["B", "N", "N", "F"],
  "fractional_positions": [[0.000, 0.000, 0.000], [0.385, 0.385, 0.385], [0.615, 0.615, 0.615], [0.500, 0.500, 0.500]],
  "spacegroup": "R-3m",
  "dos_at_fermi_per_ev_atom": 0.47,
  "magmom_total_mub_per_fu": 0.00
}

***

# 3
{
  "formula": "BN2F",
  "functional": "PBE",
  "state": "optimized geometry",
  "cell": [[0.000, 2.440, 2.440], [2.440, 0.000, 2.440], [2.440, 2.440, 0.000]],
  "species": ["B", "N", "N", "F"],
  "fractional_positions": [[0.000, 0.000, 0.000], [0.250, 0.250, 0.250], [0.750, 0.750, 0.750], [0.500, 0.500, 0.500]],
  "spacegroup": "Fm-3m",
  "dos_at_fermi_per_ev_atom": 0.55,
  "magmom_total_mub_per_fu": 0.00
}

***

# 4
{
  "formula": "BNF8",
  "functional": "PBE",
  "state": "optimized geometry",
  "cell": [[9.949, 0.000, 0.000], [0.000, 9.949, 0.000], [0.000, 0.000, 5.244]],
  "species": ["B", "B", "B", "B", "N", "N", "N", "N", "F", "F", "F", "F", "F", "F", "F", "F", "F", "F", "F", "F", "F", "F", "F", "F", "F", "F", "F", "F", "F", "F", "F", "F", "F", "F", "F", "F", "F", "F", "F", "F"],
  "fractional_positions": [[0.244, 0.256, 0.097], [0.256, 0.756, 0.903], [0.744, 0.244, 0.903], [0.756, 0.744, 0.097], [0.000, 0.000, 0.500], [0.000, 0.500, 0.461], [0.500, 0.000, 0.539], [0.500, 0.500, 0.500], [0.058, 0.093, 0.648], [0.078, 0.422, 0.608], [0.078, 0.578, 0.313], [0.093, 0.942, 0.352], [0.114, 0.221, 0.187], [0.161, 0.661, 0.816], [0.221, 0.886, 0.813], [0.243, 0.257, 0.826], [0.257, 0.757, 0.174], [0.279, 0.386, 0.187], [0.339, 0.161, 0.184], [0.386, 0.721, 0.813], [0.407, 0.442, 0.648], [0.422, 0.078, 0.687], [0.422, 0.922, 0.392], [0.442, 0.593, 0.352], [0.558, 0.407, 0.352], [0.578, 0.078, 0.392], [0.578, 0.922, 0.687], [0.593, 0.558, 0.648], [0.614, 0.279, 0.813], [0.661, 0.839, 0.184], [0.721, 0.614, 0.187], [0.743, 0.243, 0.174], [0.757, 0.743, 0.826], [0.779, 0.114, 0.813], [0.839, 0.339, 0.816], [0.886, 0.779, 0.187], [0.907, 0.058, 0.352], [0.922, 0.422, 0.313], [0.922, 0.578, 0.608], [0.942, 0.907, 0.648]],
  "spacegroup": "P-42_1m",
  "dos_at_fermi_per_ev_atom": 0.00,
  "magmom_total_mub_per_fu": 0.20
}

***

# 5
{
  "formula": "BNF",
  "functional": "PBE",
  "state": "optimized geometry",
  "cell": [[9.331, 0.000, 0.000], [0.000, 2.557, 0.000], [0.000, 0.000, 5.801]],
  "species": ["B", "B", "B", "B", "N", "N", "N", "N", "F", "F", "F", "F"],
  "fractional_positions": [[0.106, 0.250, 0.050], [0.394, 0.750, 0.550], [0.606, 0.250, 0.450], [0.894, 0.750, 0.950], [0.034, 0.750, 0.136], [0.466, 0.250, 0.636], [0.534, 0.750, 0.364], [0.966, 0.250, 0.864], [0.246, 0.250, 0.994], [0.254, 0.750, 0.494], [0.746, 0.250, 0.506], [0.754, 0.750, 0.006]],
  "spacegroup": "Pnma",
  "magmom_total_mub_per_fu": 0.00
}

***

# 6
{
  "formula": "NaBN2F",
  "functional": "PBE",
  "state": "optimized geometry",
  "cell": [[3.066, 0.000, 0.000], [0.000, 3.066, 0.000], [0.000, 0.000, 6.095]],
  "species": ["Na", "B", "N", "N", "F"],
  "fractional_positions": [[0.000, 0.000, 0.000], [0.500, 0.500, 0.500], [0.000, 0.500, 0.500], [0.500, 0.000, 0.500], [0.500, 0.500, 0.000]],
  "spacegroup": "P4/mmm",
  "dos_at_fermi_per_ev_atom": 0.34,
  "magmom_total_mub_per_fu": 0.40
}

***

# 7
{
  "formula": "NaBN2F",
  "functional": "PBE",
  "state": "optimized geometry",
  "cell": [[4.653, 0.000, 0.000], [0.000, 4.653, 0.000], [0.000, 0.000, 4.078]],
  "species": ["Na", "B", "N", "N", "F"],
  "fractional_positions": [[0.000, 0.000, 0.000], [0.500, 0.500, 0.500], [0.000, 0.500, 0.000], [0.500, 0.000, 0.000], [0.000, 0.000, 0.500]],
  "spacegroup": "P4/mmm",
  "dos_at_fermi_per_ev_atom": 0.36,
  "magmom_total_mub_per_fu": 5.00
}

***

# 8
{
  "formula": "NaBNF2",
  "functional": "PBE",
  "state": "optimized geometry",
  "cell": [[4.233, 0.000, 0.000], [0.000, 4.233, 0.000], [0.000, 0.000, 2.776]],
  "species": ["Na", "B", "N", "F", "F"],
  "fractional_positions": [[0.000, 0.000, 0.000], [0.500, 0.500, 0.500], [0.500, 0.500, 0.000], [0.000, 0.500, 0.500], [0.500, 0.000, 0.500]],
  "spacegroup": "P4/mmm",
  "dos_at_fermi_per_ev_atom": 0.43,
  "magmom_total_mub_per_fu": 1.00
}

***

# 9
{
  "formula": "NaBNF2",
  "functional": "PBE",
  "state": "optimized geometry",
  "cell": [[4.274, 0.000, 0.000], [0.000, 4.274, 0.000], [0.000, 0.000, 4.415]],
  "species": ["Na", "B", "N", "F", "F"],
  "fractional_positions": [[0.000, 0.000, 0.000], [0.500, 0.500, 0.500], [0.000, 0.000, 0.500], [0.000, 0.500, 0.000], [0.500, 0.000, 0.000]],
  "spacegroup": "P4/mmm",
  "dos_at_fermi_per_ev_atom": 0.14,
  "magmom_total_mub_per_fu": 3.01
}

***

# 10
{
  "formula": "NbBN2F",
  "functional": "PBE",
  "state": "optimized geometry",
  "cell": [[4.066, 0.000, 0.000], [0.000, 4.066, 0.000], [0.000, 0.000, 4.128]],
  "species": ["Nb", "B", "N", "N", "F"],
  "fractional_positions": [[0.000, 0.000, 0.000], [0.500, 0.500, 0.500], [0.000, 0.500, 0.000], [0.500, 0.000, 0.000], [0.000, 0.000, 0.500]],
  "spacegroup": "P4/mmm",
  "dos_at_fermi_per_ev_atom": 0.44,
  "magmom_total_mub_per_fu": 0.39
}

***

# 11
{
  "formula": "NbBNF2",
  "functional": "PBE",
  "state": "optimized geometry",
  "cell": [[4.464, 0.000, 0.000], [0.000, 4.464, 0.000], [0.000, 0.000, 2.669]],
  "species": ["Nb", "B", "N", "F", "F"],
  "fractional_positions": [[0.000, 0.000, 0.000], [0.500, 0.500, 0.500], [0.500, 0.500, 0.000], [0.000, 0.500, 0.500], [0.500, 0.000, 0.500]],
  "spacegroup": "P4/mmm",
  "dos_at_fermi_per_ev_atom": 0.34,
  "magmom_total_mub_per_fu": 1.63
}

***

# 12
{
  "formula": "NbBNF2",
  "functional": "PBE",
  "state": "optimized geometry",
  "cell": [[4.170, 0.000, 0.000], [0.000, 4.170, 0.000], [0.000, 0.000, 4.025]],
  "species": ["Nb", "B", "N", "F", "F"],
  "fractional_positions": [[0.000, 0.000, 0.000], [0.500, 0.500, 0.500], [0.000, 0.000, 0.500], [0.000, 0.500, 0.000], [0.500, 0.000, 0.000]],
  "spacegroup": "P4/mmm",
  "dos_at_fermi_per_ev_atom": 0.47,
  "magmom_total_mub_per_fu": 0.94
}

***

# 13
{
  "formula": "NbBN2F",
  "functional": "PBE",
  "state": "optimized geometry",
  "cell": [[3.583, 0.000, 0.000], [0.000, 3.583, 0.000], [0.000, 0.000, 3.178]],
  "species": ["Nb", "B", "N", "N", "F"],
  "fractional_positions": [[0.000, 0.000, 0.000], [0.500, 0.500, 0.500], [0.000, 0.500, 0.500], [0.500, 0.000, 0.500], [0.500, 0.500, 0.000]],
  "spacegroup": "P4/mmm",
  "dos_at_fermi_per_ev_atom": 0.28,
  "magmom_total_mub_per_fu": 0.65
}

***

V values, unit Å³/cell, following the record order: 90.4 30.8 29.1 519.1 138.4 57.3 88.3 49.8 80.7 68.2 53.2 70.0 40.8.
VASP energy values, unit eV/atom, following the record order: -7.424 -5.435 -3.794 -4.404 -6.652 -5.514 -3.177 -5.238 -3.239 -6.567 -6.537 -6.109 -7.071.
Raw formation energy values, unit eV per formula unit, following the record order: -5.087 3.461 10.025 -14.070 -3.083 -1.050 10.632 -6.127 3.869 2.432 -3.868 -1.728 -0.087.